# LiVIn2O6 PBE+U relaxed
# - Volume: 128 Å³ per cell
# - D(E_F): 2.81 states/eV/cell
# - DFT total energy: -58.31 eV for the cell shown
data_LiVIn2O6
_chemical_formula_sum 'Li1 V1 In2 O6'
_space_group_name_H-M_alt 'P 4 m m'
_space_group_IT_number 99
_cell_length_a 5.0979
_cell_length_b 5.0979
_cell_length_c 4.9277
_cell_angle_alpha 90.00
_cell_angle_beta 90.00
_cell_angle_gamma 90.00
loop_
_space_group_symop_operation_xyz
'x,y,z'
'-y,x,z'
'-x,-y,z'
'y,-x,z'
'-x,y,z'
'y,x,z'
'x,-y,z'
'-y,-x,z'
loop_
_atom_site_label
_atom_site_type_symbol
_atom_site_fract_x
_atom_site_fract_y
_atom_site_fract_z
Li1 Li 0.0000 0.0000 0.0000
V1 V 0.5000 0.5000 0.0321
In1 In 0.0000 0.5000 0.4187
O1 O 0.0000 0.0000 0.6086
O2 O 0.2605 0.2605 0.1653
O3 O 0.5000 0.5000 0.6769